The following is a DFT calculation (GGA-PBE) of K3Ac3MgO8 after structural relaxation.

The structure in extended XYZ format:
```
15
Lattice="3.6952 2.1334 6.3569 -3.6952 2.1334 6.3569 0.0000 -4.2668 6.3569" Properties=species:S:1:pos:R:3 pbc="T T T"
K -1.8476 -1.0667 6.3569
K -1.8476 1.0667 12.7139
K 0.0000 2.1334 6.3569
Ac -3.6952 0.0000 9.5354
Ac -1.8476 1.0667 3.1785
Ac 1.8476 1.0667 3.1785
Mg 0.0000 0.0000 9.5354
O 0.0000 0.0000 4.4674
O -1.6995 -0.9812 10.6645
O 0.0000 -1.9624 8.4063
O -1.6994 0.9812 8.4063
O 1.6995 -0.9812 10.6645
O 0.0000 1.9624 10.6645
O 1.6994 0.9812 8.4063
O 0.0000 0.0000 14.6034
```

**Magnetic moment**: 2.1 μB/f.u.
**Energy relative to the elements, uncorrected**: -2.24 eV per atom
**D(E_F)**: 11.83 states/eV/cell
**Total energy**: -6.035 eV/atom

=====

The following is a DFT calculation (GGA-PBE) of KAcMgPb after structural relaxation.

The structure in extended XYZ format:
```
4
Lattice="0.0000 4.1578 4.1578 4.1578 0.0000 4.1578 4.1578 4.1578 0.0000" Properties=species:S:1:pos:R:3 pbc="T T T"
K 0.0000 0.0000 0.0000
Ac 4.1578 4.1578 4.1578
Mg 2.0789 2.0789 2.0789
Pb 6.2367 6.2367 6.2367
```

**Magnetic moment**: 0.0 μB/f.u.
**Calculated formation energy**: -0.4 eV per formula unit
**D(E_F)**: 1.45 states/eV/cell
**Total energy**: -2.738 eV/atom